Computed, not measured: a relaxed structure of ZrBe6Ni2 at the GGA-PBE level of DFT.

Cell and atoms, written as POSCAR:
```
ZrBe6Ni2
1.0
3.516 0.000 0.000
1.758 5.625 1.118
1.758 2.206 5.294
Zr Be Ni
1 6 2
direct
0.000 0.000 0.000 Zr
0.500 0.674 0.326 Be
0.694 0.039 0.573 Be
0.694 0.573 0.039 Be
0.306 0.427 0.961 Be
0.306 0.961 0.427 Be
0.500 0.326 0.674 Be
0.878 0.622 0.622 Ni
0.122 0.378 0.378 Ni
```

Results
total energy = -0.178 hartree per atom
V = 10.67 A^3/atom
SG = No. 71
energy of formation from the pure elements = -0.1153 eV/atom
total magnetization = 0.0 μB per formula unit
DOS at the Fermi energy = 5.06 states/eV/cell